A relaxed Na2NdInO4 crystal. Source: Alexandria, functional GGA-PBE.

Cell and atoms, written as POSCAR:
```
Na2NdInO4
1.0
-2.296 -2.448 -0.840
-0.429 -1.542 5.666
-4.056 4.225 -1.224
Nd O In Na
1 4 1 2
direct
0.500 0.500 0.000
0.500 0.776 0.783
0.000 0.249 0.780
0.500 0.224 0.217
0.000 0.751 0.220
0.000 0.000 0.000
0.000 0.500 0.500
0.500 0.000 0.500
```

Properties
E: -5.817 eV per atom
raw formation energy: -2.07 eV/atom
total moment: 0.000 μB/cell